Computed, not measured: a relaxed structure of Rb2TcCl5O at the PBE-GGA level of DFT.

- Space group: I4mm

Cell lengths 7.0612, 7.0612, 7.0612 Å; angles 116.68, 116.68, 95.85 degrees
With the nearest neighbours (Å) after each atom.
Sites, in units of the cell vectors:
Rb 0.0000 0.5000 0.5000  10 Cl 3.53-3.71, 2 O 3.74
Rb 0.5000 0.0000 0.5000  10 Cl 3.53-3.71, 2 O 3.74
Tc 0.2301 0.2301 0.0000  1 O 1.68
Cl 0.0215 0.0215 0.5413  1 Tc 2.41
Cl 0.0215 0.4802 0.0000  1 Tc 2.41
Cl 0.4802 0.0215 0.0000  1 Tc 2.41
Cl 0.4802 0.4802 0.4587  1 Tc 2.41
Cl 0.4895 0.4895 0.0000  1 Tc 2.46
O 0.0522 0.0522 0.0000  1 Tc 1.68

***

Computed, not measured: a relaxed structure of Rb2TcCl4O2 at the PBE-GGA level of DFT.

- Space group: C2/m

Cell lengths 6.7828, 6.7828, 5.8654 Å; angles 101.14, 101.14, 63.68 degrees
With the nearest neighbours (Å) after each atom.
Sites, in units of the cell vectors:
Rb 0.1744 0.1744 0.3170  1 O 3.06
Rb 0.8256 0.8256 0.6830  1 O 3.06
Tc 0.5000 0.5000 0.0000  2 O 1.78
Cl 0.1672 0.6510 0.1899  1 Tc 2.42
Cl 0.3490 0.8328 0.8101  1 Tc 2.42
Cl 0.6510 0.1672 0.1899  1 Tc 2.42
Cl 0.8328 0.3490 0.8101  1 Tc 2.42
O 0.3733 0.3733 0.7623  1 Tc 1.78
O 0.6267 0.6267 0.2377  1 Tc 1.78

***

Computed, not measured: a relaxed structure of RbTl2ClO at the PBE-GGA level of DFT.

- Space group: P2_1/m

Cell lengths 6.8441, 6.0580, 8.9199 Å; angles 90.00, 109.73, 90.00 degrees
With the nearest neighbours (Å) after each atom.
Sites, in units of the cell vectors:
Rb 0.1992 0.2500 0.4177  1 O 2.80
Rb 0.8008 0.7500 0.5823  1 O 2.80
Tl 0.0492 0.2500 0.8822  1 O 2.28
Tl 0.3876 0.7500 0.9247  1 O 2.19
Tl 0.6125 0.2500 0.0753  1 O 2.19
Tl 0.9508 0.7500 0.1178  1 O 2.28
Cl 0.3004 0.7500 0.5760  1 Tl 2.96, 2 Rb 3.31
Cl 0.6996 0.2500 0.4240  1 Tl 2.96, 2 Rb 3.31
O 0.0579 0.7500 0.9014  2 Tl 2.19-2.28
O 0.9421 0.2500 0.0986  2 Tl 2.19-2.28

***

Computed, not measured: a relaxed structure of Rb2Tl2Cl2O at the PBE-GGA level of DFT.

- Space group: C2/m

Cell lengths 6.9843, 6.9843, 8.9969 Å; angles 120.79, 120.79, 38.33 degrees
With the nearest neighbours (Å) after each atom.
Sites, in units of the cell vectors:
Rb 0.0541 0.0541 0.3016  3 Cl 3.25-3.35, 2 O 3.32
Rb 0.9459 0.9459 0.6984  3 Cl 3.25-3.35, 2 O 3.32
Tl 0.3057 0.3057 0.9153  1 O 2.24
Tl 0.6943 0.6943 0.0847  1 O 2.24
Cl 0.3240 0.3240 0.3754  2 Tl 3.19, 3 Rb 3.25-3.35
Cl 0.6760 0.6760 0.6246  2 Tl 3.19, 3 Rb 3.25-3.35
O 0.5000 0.5000 0.0000  2 Tl 2.24

***

Computed, not measured: a relaxed structure of Rb2UCl4O4 at the PBE-GGA level of DFT.

- Space group: P-1

Cell lengths 6.3967, 7.0138, 7.8144 Å; angles 103.72, 93.30, 110.57 degrees
With the nearest neighbours (Å) after each atom.
Sites, in units of the cell vectors:
Rb 0.0998 0.3513 0.2407  4 O 2.92-3.20
Rb 0.9002 0.6487 0.7593  4 O 2.92-3.20
U 0.5000 0.0000 0.5000  2 O 1.82
Cl 0.2679 0.9274 0.1789  1 O 2.52, 1 U 2.68
Cl 0.3360 0.2937 0.6384  1 O 2.47, 1 U 2.67
Cl 0.6640 0.7063 0.3616  1 O 2.47, 1 U 2.67
Cl 0.7321 0.0726 0.8211  1 O 2.52, 1 U 2.68
O 0.1101 0.3713 0.8727  2 Cl 2.47-2.52
O 0.2662 0.7909 0.5470  1 U 1.82
O 0.7338 0.2091 0.4530  1 U 1.82
O 0.8899 0.6287 0.1273  2 Cl 2.47-2.52

***

Uncorrected formation energy per entry: -1.3643 -1.3545 -1.0133 -1.2158 -1.3818 eV/atom
Energy per entry: -38.8 -41.8 -35.1 -23.8 -55.6 eV per cell